1.
An optimized crystal structure of TmTlTc. Source: OQMD, functional GGA-PBE.

abc: 6.6419 6.6419 6.6419
angles: 90.00 90.00 90.00
Space group F-43m (No. 216)
Unique sites:
Tm 0.0000 0.0000 0.0000 (multiplicity 4)
Tl 0.2500 0.2500 0.7500 (multiplicity 4)
Tc 0.0000 0.0000 0.5000 (multiplicity 4)

## Properties
Total magnetization, μB/cell: 1.2
Energy, eV per atom: -5.10

2.
An optimized crystal structure of PuOs. Source: OQMD, functional GGA-PBE.

abc: 5.5333 5.5333 5.5333
angles: 90.00 90.00 90.00
Space group Fm-3m (No. 225)
Unique sites:
Pu 0.0000 0.0000 0.0000 (multiplicity 4)
Os 0.0000 0.0000 0.5000 (multiplicity 4)

## Properties
Total magnetization, μB/cell: 15.1
Formation energy, eV per atom: 0.209

- total magnetization of number 2 (PuOs)?
  15.1 μB/cell

- total magnetization of number 1 (TmTlTc)?
  1.2 μB/cell

- Among the records above, which one has the lowest total magnetization?
  TmTlTc